A plane-wave DFT calculation with GGA-PBE was carried out for an optimized crystal structure of Pm7Zn2Bi2.

- crystal system = orthorhombic

Unit cell a=7.400 b=6.722 c=7.400 alpha=90.00 beta=100.99 gamma=90.00
Fractional coordinates of all 11 atoms:
Zn  0.273  0.000  0.727
Pm  0.500  0.759  0.500
Bi  0.189  0.500  0.189
Pm  0.500  0.256  0.000
Pm  0.500  0.241  0.500
Pm  0.000  0.744  0.500
Pm  0.500  0.744  0.000
Bi  0.811  0.500  0.811
Zn  0.727  0.000  0.273
Pm  0.000  0.256  0.500
Pm  0.000  0.000  0.000

A plane-wave DFT calculation with GGA-PBE was carried out for an optimized crystal structure of NaSc3P8H14O24.

- crystal system = triclinic

Unit cell a=7.589 b=9.691 c=9.666 alpha=115.31 beta=100.79 gamma=101.06
Fractional coordinates of all 50 atoms:
Na  0.000  0.000  0.500
O  0.669  0.424  0.262
H  0.238  0.294  0.488
H  0.762  0.706  0.512
H  0.958  0.551  0.615
P  0.209  0.479  0.345
O  0.844  0.536  0.823
O  0.252  0.879  0.416
H  0.492  0.851  0.288
O  0.335  0.041  0.282
O  0.820  0.264  0.891
H  0.936  0.069  0.100
P  0.704  0.577  0.250
H  0.848  0.793  0.164
Sc  0.503  0.235  0.277
Sc  0.000  0.500  0.000
O  0.665  0.959  0.718
P  0.777  0.989  0.123
O  0.666  0.348  0.528
O  0.141  0.091  0.776
O  0.199  0.272  0.573
O  0.334  0.652  0.472
O  0.642  0.858  0.963
O  0.748  0.121  0.584
H  0.470  0.405  0.808
P  0.791  0.521  0.655
H  0.725  0.211  0.561
H  0.275  0.789  0.439
O  0.156  0.464  0.177
O  0.801  0.728  0.427
P  0.223  0.011  0.877
H  0.152  0.207  0.836
H  0.508  0.149  0.712
O  0.301  0.353  0.355
O  0.180  0.736  0.109
O  0.859  0.909  0.224
P  0.296  0.423  0.750
H  0.530  0.595  0.192
O  0.358  0.142  0.037
H  0.064  0.931  0.900
O  0.826  0.597  0.147
O  0.703  0.115  0.230
H  0.042  0.449  0.385
P  0.686  0.125  0.734
O  0.297  0.885  0.770
P  0.314  0.875  0.266
O  0.699  0.647  0.645
Sc  0.497  0.765  0.723
O  0.174  0.403  0.853
O  0.331  0.576  0.738

no.,energy (eV per formula unit)
1,-45.27
2,-321.87